1.
Material: Sr2In5Ag3
Method: DFT, GGA-PBE
State: relaxed

a b c (Å): 4.864 27.680 7.666
angles (deg): 90.00 90.00 90.00
Space group Cmc2_1 (No. 36)
Asymmetric unit:
1 Sr 0.000 0.017 0.000
2 Sr 0.000 0.325 0.046
3 In 0.000 0.102 0.341
4 In 0.000 0.206 0.854
5 In 0.000 0.209 0.254
6 In 0.000 0.376 0.510
7 In 0.000 0.447 0.183
8 Ag 0.000 0.108 0.734
9 Ag 0.000 0.273 0.558
10 Ag 0.000 0.451 0.791

Properties
The calculation puts the distance to the lowest polymorph of the same formula at 2.4 meV/atom. The crystal system is orthorhombic. The calculation puts the formation energy at -0.2914 eV/atom.

***

2.
Material: Sr4In3Ag
Method: DFT, GGA-PBE
State: relaxed

a b c (Å): 4.042 4.042 16.172
angles (deg): 90.00 90.00 90.00
Space group P4/mmm (No. 123)
Asymmetric unit:
1 Sr 0.000 0.000 0.121
2 Sr 0.000 0.000 0.374
3 In 0.500 0.500 0.249
4 In 0.500 0.500 0.500
5 Ag 0.500 0.500 0.000

Properties
The crystal system is tetragonal. The calculation puts the formation energy at -0.3779 eV/atom.

***

3.
Material: Sr2In3Ag6
Method: DFT, GGA-PBE
State: relaxed

a b c (Å): 9.648 12.915 4.559
angles (deg): 90.00 90.00 90.00
Space group Cmmm (No. 65)
Asymmetric unit:
1 Sr 0.212 0.000 0.000
2 In 0.000 0.253 0.000
3 In 0.000 0.500 0.500
4 Ag 0.000 0.114 0.500
5 Ag 0.164 0.329 0.500

Properties
The crystal system is orthorhombic. The calculation puts the formation energy at -0.1086 eV/atom.

***

4.
Material: SrIn6Ag4
Method: DFT, GGA-PBE
State: relaxed

a b c (Å): 8.2118 8.2118 4.5674
angles (deg): 90.00 90.00 120.00
Space group P-6m2 (No. 187)
Asymmetric unit:
1 Sr 0.0000 0.0000 0.0000
2 In 0.0691 0.5346 0.0000
3 In 0.3972 0.1986 0.5000
4 Ag 0.2066 0.4132 0.5000
5 Ag 0.6667 0.3333 0.0000

Properties
The calculation puts the distance to the lowest polymorph of the same formula at 0.0 meV/atom. The crystal system is hexagonal. The calculation puts the formation energy at -0.1494 eV/atom.

***

5.
Material: Sr6InAg3
Method: DFT, GGA-PBE
State: relaxed

a b c (Å): 12.073 4.826 14.133
angles (deg): 90.00 111.13 90.00
Space group P2_1/m (No. 11)
Asymmetric unit:
1 Sr 0.021 0.250 0.386
2 Sr 0.073 0.250 0.907
3 Sr 0.246 0.750 0.324
4 Sr 0.341 0.750 0.798
5 Sr 0.343 0.750 0.099
6 Sr 0.391 0.250 0.567
7 In 0.422 0.250 0.290
8 Ag 0.145 0.250 0.161
9 Ag 0.196 0.750 0.535
10 Ag 0.421 0.250 0.974

Properties
The crystal system is monoclinic. The calculation puts the formation energy at -0.2215 eV/atom.

***

6.
Material: SrIn6Ag4
Method: DFT, GGA-PBE
State: relaxed

a b c (Å): 10.282 10.394 10.473
angles (deg): 90.00 90.00 90.00
Space group Fmm2 (No. 42)
Asymmetric unit:
1 Sr 0.000 0.000 0.000
2 In 0.000 0.195 0.701
3 In 0.196 0.000 0.299
4 In 0.250 0.250 0.002
5 Ag 0.000 0.165 0.420
6 Ag 0.164 0.000 0.580

Properties
The calculation puts the distance to the lowest polymorph of the same formula at 60.2 meV/atom. The crystal system is orthorhombic. The calculation puts the formation energy at -0.0892 eV/atom.

***

7.
Material: SrInAg3
Method: DFT, GGA-PBE
State: relaxed

a b c (Å): 10.962 4.860 5.327
angles (deg): 90.00 118.65 90.00
Space group Cm (No. 8)
Asymmetric unit:
1 Sr 0.000 0.000 0.000
2 In 0.368 0.000 0.306
3 Ag 0.142 0.500 0.760
4 Ag 0.236 0.500 0.350
5 Ag 0.260 0.000 0.700

Properties
The calculation puts the distance to the lowest polymorph of the same formula at 0.0 meV/atom. The crystal system is monoclinic. The calculation puts the formation energy at -0.2057 eV/atom.

***

8.
Material: Sr3In4Ag4
Method: DFT, GGA-PBE
State: relaxed

a b c (Å): 4.753 7.855 15.950
angles (deg): 90.00 90.00 90.00
Space group Immm (No. 71)
Asymmetric unit:
1 Sr 0.000 0.000 0.000
2 Sr 0.000 0.500 0.128
3 In 0.000 0.305 0.329
4 Ag 0.000 0.000 0.217
5 Ag 0.000 0.185 0.500

Properties
The calculation puts the distance to the lowest polymorph of the same formula at 0.0 meV/atom. The crystal system is orthorhombic. The calculation puts the formation energy at -0.3387 eV/atom.

***

9.
Material: Sr2In5Ag12
Method: DFT, GGA-PBE
State: relaxed

a b c (Å): 9.9823 9.9823 14.5914
angles (deg): 90.00 90.00 120.00
Space group R-3m (No. 166, hexagonal axes)
Asymmetric unit:
1 Sr 0.0000 0.0000 0.1551
2 In 0.0000 0.0000 0.4032
3 In 0.0000 0.5000 0.0000
4 Ag 0.0000 0.3045 0.5000
5 Ag 0.0052 0.5026 0.6514

Properties
The crystal system is trigonal. The calculation puts the formation energy at -0.1334 eV/atom.

***

10.
Material: SrInAg2
Method: DFT, GGA-PBE
State: relaxed

a b c (Å): 4.9011 4.9011 9.9454
angles (deg): 90.00 90.00 120.00
Space group P6_3/mmc (No. 194)
Asymmetric unit:
1 Sr 0.3333 0.6667 0.2500
2 In 0.0000 0.0000 0.0000
3 Ag 0.3333 0.6667 0.5754

Properties
The crystal system is hexagonal. The calculation puts the formation energy at -0.2710 eV/atom.